DFT (PBE with a Hubbard U) results for an optimized crystal structure of Cr2PbF.

Lattice parameters (Å, degrees): 5.970 5.970 5.970 109.56 109.56 109.30
Fractional coordinates of all 8 atoms:
Cr  0.044  0.625  0.919
Cr  0.375  0.294  0.419
Cr  0.706  0.125  0.081
Cr  0.875  0.956  0.581
Pb  0.250  0.750  0.500
Pb  0.500  0.500  0.000
F  0.000  0.000  0.000
F  0.750  0.250  0.500

Total magnetic moment: 2.2767 μB per atom
ρ: 6.69 g/cm³
Offset from the most stable computed form: 0 meV/atom
Space-group type: No. 122